[1]
! PBE-GGA RbBaAsSe4, relaxed; values from VASP
&SYSTEM
  ibrav = 0, nat = 14, ntyp = 4
/
ATOMIC_SPECIES
Rb 85.47 Rb.upf
Ba 137.33 Ba.upf
As 74.92 As.upf
Se 78.96 Se.upf
CELL_PARAMETERS angstrom
7.3504 0.0000 0.0000
0.0000 7.2369 0.0000
-2.8263 0.0000 9.4565
ATOMIC_POSITIONS crystal
Rb 0.2417 0.2500 0.4394
Rb 0.7583 0.7500 0.5606
Ba 0.2660 0.2500 0.9528
Ba 0.7340 0.7500 0.0472
As 0.3036 0.7500 0.1975
As 0.6964 0.2500 0.8025
Se 0.0991 0.7500 0.3406
Se 0.1433 0.7500 0.9533
Se 0.4941 0.5081 0.7579
Se 0.4941 0.9919 0.7579
Se 0.5059 0.0081 0.2421
Se 0.5059 0.4919 0.2421
Se 0.8567 0.2500 0.0467
Se 0.9009 0.2500 0.6594
! Calculated density in g/cm3: 4.05
! Raw formation energy in kcal/mol of atoms: -22.3
! Space-group type: P2_1/m
! Energy in eV/atom: -4.034

=====

[2]
! PBE-GGA K2ZrUTe4, relaxed; values from VASP
&SYSTEM
  ibrav = 0, nat = 8, ntyp = 4
/
ATOMIC_SPECIES
K 39.10 K.upf
Zr 91.22 Zr.upf
U 238.03 U.upf
Te 127.60 Te.upf
CELL_PARAMETERS angstrom
7.4806 0.0000 0.0000
0.0000 4.3374 0.0000
-2.4999 0.0000 8.4006
ATOMIC_POSITIONS crystal
K 0.0000 0.0000 0.0000
K 0.5000 0.5000 0.0000
Zr 0.0000 0.5000 0.5000
U 0.5000 0.0000 0.5000
Te 0.2242 0.0000 0.7055
Te 0.2505 0.5000 0.2882
Te 0.7495 0.5000 0.7118
Te 0.7758 0.0000 0.2945
! Calculated density in g/cm3: 5.59
! Raw formation energy in kcal/mol of atoms: -20.8
! Space-group type: P2/m
! Energy in eV/atom: -5.227

=====

[3]
! PBE-GGA DyMgBr4, relaxed; values from VASP
&SYSTEM
  ibrav = 0, nat = 6, ntyp = 3
/
ATOMIC_SPECIES
Dy 162.50 Dy.upf
Mg 24.30 Mg.upf
Br 79.90 Br.upf
CELL_PARAMETERS angstrom
7.2818 0.0000 0.0000
0.0000 3.7498 0.0000
-2.0388 0.0000 7.3452
ATOMIC_POSITIONS crystal
Dy 0.0000 0.0000 0.0000
Mg 0.5000 0.5000 0.0000
Br 0.2673 0.5000 0.2271
Br 0.2787 0.0000 0.7936
Br 0.7213 0.0000 0.2064
Br 0.7327 0.5000 0.7729
! Calculated density in g/cm3: 4.19
! Raw formation energy in kcal/mol of atoms: -34.4
! Space-group type: P2/m
! Energy in eV/atom: -3.638

=====

[4]
! PBE-GGA Gd2ErH4, relaxed; values from VASP
&SYSTEM
  ibrav = 0, nat = 14, ntyp = 3
/
ATOMIC_SPECIES
Gd 157.25 Gd.upf
Er 167.26 Er.upf
H 1.01 H.upf
CELL_PARAMETERS angstrom
4.0371 0.0000 0.0000
0.0000 4.0371 0.0000
0.0000 0.0000 12.6719
ATOMIC_POSITIONS crystal
Gd 0.0000 0.0000 0.1603
Gd 0.0000 0.0000 0.8397
Gd 0.5000 0.5000 0.3397
Gd 0.5000 0.5000 0.6603
Er 0.0000 0.0000 0.5000
Er 0.5000 0.5000 0.0000
H 0.0000 0.0000 0.3326
H 0.0000 0.0000 0.6674
H 0.0000 0.5000 0.0000
H 0.0000 0.5000 0.5000
H 0.5000 0.0000 0.0000
H 0.5000 0.0000 0.5000
H 0.5000 0.5000 0.1674
H 0.5000 0.5000 0.8326
! Calculated density in g/cm3: 7.81
! Space-group type: I4/mmm
! Energy in eV/atom: -6.873

=====

[5]
! PBE-GGA BeInB3, relaxed; values from VASP
&SYSTEM
  ibrav = 0, nat = 5, ntyp = 3
/
ATOMIC_SPECIES
Be 9.01 Be.upf
In 114.82 In.upf
B 10.81 B.upf
CELL_PARAMETERS angstrom
4.4721 0.0000 0.0000
0.0000 4.4721 0.0000
0.0000 0.0000 4.4721
ATOMIC_POSITIONS crystal
Be 0.0000 0.0000 0.0000
In 0.5000 0.5000 0.5000
B 0.0000 0.5000 0.5000
B 0.5000 0.0000 0.5000
B 0.5000 0.5000 0.0000
! Calculated density in g/cm3: 2.90
! Formation energy in eV per atom: 2.656
! Polymorph energy (0 for the lowest one) in eV/atom: 1.118
! Space-group type: Pm-3m
! Energy in eV/atom: -2.643

=====

[6]
! PBE-GGA Zn2CrW, relaxed; values from VASP
&SYSTEM
  ibrav = 0, nat = 4, ntyp = 3
/
ATOMIC_SPECIES
Zn 65.41 Zn.upf
Cr 52.00 Cr.upf
W 183.84 W.upf
CELL_PARAMETERS angstrom
3.1401 0.0000 0.0000
0.0000 3.1401 0.0000
0.0000 0.0000 5.8589
ATOMIC_POSITIONS crystal
Zn 0.0000 0.0000 0.0000
Zn 0.5000 0.5000 0.2355
Cr 0.0000 0.0000 0.5151
W 0.5000 0.5000 0.7056
! Calculated density in g/cm3: 10.54
! Formation energy in eV per atom: 0.224
! Polymorph energy (0 for the lowest one) in eV/atom: 0.046
! Space-group type: P4mm
! Energy in eV/atom: -6.057

=====

[7]
! PBE-GGA Sr2LiMgZn, relaxed; values from VASP
&SYSTEM
  ibrav = 0, nat = 5, ntyp = 4
/
ATOMIC_SPECIES
Sr 87.62 Sr.upf
Li 6.94 Li.upf
Mg 24.30 Mg.upf
Zn 65.41 Zn.upf
CELL_PARAMETERS angstrom
6.1569 0.0000 0.0000
0.0000 6.1569 0.0000
0.0000 0.0000 5.0823
ATOMIC_POSITIONS crystal
Sr 0.0000 0.5000 0.0000
Sr 0.5000 0.0000 0.0000
Li 0.0000 0.0000 0.5000
Mg 0.5000 0.5000 0.5000
Zn 0.5000 0.5000 0.0000
! Calculated density in g/cm3: 2.34
! Formation energy in eV per atom: 0.072
! Polymorph energy (0 for the lowest one) in eV/atom: 0.000
! Space-group type: P4/mmm
! Energy in eV/atom: -1.557

=====

[8]
! PBE-GGA RbLiAg2F, relaxed; values from VASP
&SYSTEM
  ibrav = 0, nat = 5, ntyp = 4
/
ATOMIC_SPECIES
Rb 85.47 Rb.upf
Li 6.94 Li.upf
Ag 107.87 Ag.upf
F 19.00 F.upf
CELL_PARAMETERS angstrom
6.5180 0.0000 0.0000
0.0000 6.5180 0.0000
0.0000 0.0000 3.3766
ATOMIC_POSITIONS crystal
Rb 0.0000 0.0000 0.0000
Li 0.5000 0.5000 0.5000
Ag 0.0000 0.5000 0.5000
Ag 0.5000 0.0000 0.5000
F 0.5000 0.5000 0.0000
! Calculated density in g/cm3: 3.79
! Raw formation energy in kcal/mol of atoms: -14.3
! Space-group type: P4/mmm
! Energy in eV/atom: -2.709

=====

no.,V (Å³/cell)
1,503.0
2,272.6
3,200.6
4,206.5
5,89.4
6,57.8
7,192.7
8,143.5